This record from Alexandria describes an optimized crystal structure of Te2Pd3Se2. The functional is PBE.

Values from the calculation:
Energy above the lowest structure with this stoichiometry in meV per atom: 0
DFT total energy in eV per atom: -4.40
Mass density in g cm⁻³: 7.84
Total magnetization in Bohr magnetons per cell: 0.0

```
data_Te2Pd3Se2
_cell_length_a 6.974
_cell_length_b 6.958
_cell_length_c 6.710
_cell_angle_alpha 90.00
_cell_angle_beta 107.71
_cell_angle_gamma 90.00
_symmetry_space_group_name_H-M 'P 1 21/c 1'
_symmetry_Int_Tables_number 14
loop_
_symmetry_equiv_pos_as_xyz
'x,y,z'
'-x,-y,-z'
'-x,y+1/2,-z+1/2'
'x,-y+1/2,z+1/2'
loop_
_atom_site_label
_atom_site_type_symbol
_atom_site_fract_x
_atom_site_fract_y
_atom_site_fract_z
Te1 Te 0.125 0.165 0.389
Pd1 Pd 0.242 0.507 0.276
Pd2 Pd 0.500 0.000 0.500
Se1 Se 0.391 0.678 0.633
```


This record from Alexandria describes an optimized crystal structure of CeHfFe10. The functional is PBE.

Values from the calculation:
DFT total energy in eV per atom: -8.42
Mass density in g cm⁻³: 8.77
Total magnetization in Bohr magnetons per cell: 18.9

```
data_CeHfFe10
_cell_length_a 3.984
_cell_length_b 4.907
_cell_length_c 8.493
_cell_angle_alpha 90.00
_cell_angle_beta 90.00
_cell_angle_gamma 90.00
_symmetry_space_group_name_H-M 'P m m m'
_symmetry_Int_Tables_number 47
loop_
_symmetry_equiv_pos_as_xyz
'x,y,z'
'-x,-y,-z'
'-x,-y,z'
'x,y,-z'
'x,-y,-z'
'-x,y,z'
'-x,y,-z'
'x,-y,z'
loop_
_atom_site_label
_atom_site_type_symbol
_atom_site_fract_x
_atom_site_fract_y
_atom_site_fract_z
Ce1 Ce 0.000 0.000 0.000
Hf1 Hf 0.000 0.500 0.500
Fe1 Fe 0.000 0.000 0.339
Fe2 Fe 0.000 0.500 0.173
Fe3 Fe 0.500 0.000 0.500
Fe4 Fe 0.500 0.255 0.259
Fe5 Fe 0.500 0.500 0.000
```


This record from Alexandria describes an optimized crystal structure of TePbI2Cl. The functional is PBE.

Values from the calculation:
Energy above the lowest structure with this stoichiometry in meV per atom: 0
DFT total energy in eV per atom: -2.12
Mass density in g cm⁻³: 4.00
Total magnetization in Bohr magnetons per cell: 2.9

```
data_TePbI2Cl
_cell_length_a 6.241
_cell_length_b 6.241
_cell_length_c 6.645
_cell_angle_alpha 90.00
_cell_angle_beta 90.00
_cell_angle_gamma 90.00
_symmetry_space_group_name_H-M 'P 4/m m m'
_symmetry_Int_Tables_number 123
_symmetry_space_group_name_Hall '-P 4 2'
loop_
_atom_site_label
_atom_site_type_symbol
_atom_site_fract_x
_atom_site_fract_y
_atom_site_fract_z
Te1 Te 0.000 0.000 0.000
Pb1 Pb 0.000 0.000 0.500
I1 I 0.000 0.500 0.500
Cl1 Cl 0.500 0.500 0.000
```


This record from Alexandria describes an optimized crystal structure of K2Y4Cu4Se9. The functional is PBE.

Values from the calculation:
DFT total energy in eV per atom: -5.29
Mass density in g cm⁻³: 5.02
Total magnetization in Bohr magnetons per cell: 0.0

```
data_K2Y4Cu4Se9
_cell_length_a 14.374
_cell_length_b 4.126
_cell_length_c 16.540
_cell_angle_alpha 90.00
_cell_angle_beta 109.31
_cell_angle_gamma 90.00
_symmetry_space_group_name_H-M 'C 1 2/m 1'
_symmetry_Int_Tables_number 12
loop_
_symmetry_equiv_pos_as_xyz
'x,y,z'
'-x,-y,-z'
'-x,y,-z'
'x,-y,z'
'x+1/2,y+1/2,z'
'-x+1/2,-y+1/2,-z'
'-x+1/2,y+1/2,-z'
'x+1/2,-y+1/2,z'
loop_
_atom_site_label
_atom_site_type_symbol
_atom_site_fract_x
_atom_site_fract_y
_atom_site_fract_z
K1 K 0.033 0.000 0.269
Y1 Y 0.155 0.500 0.556
Y2 Y 0.232 0.000 0.103
Cu1 Cu 0.075 0.500 0.972
Cu2 Cu 0.240 0.000 0.729
Se1 Se 0.000 0.000 0.500
Se2 Se 0.107 0.500 0.130
Se3 Se 0.135 0.000 0.922
Se4 Se 0.145 0.500 0.723
Se5 Se 0.200 0.500 0.396
```


This record from Alexandria describes an optimized crystal structure of SmZrSc2P4. The functional is PBE.

Values from the calculation:
DFT total energy in eV per atom: -7.41
Mass density in g cm⁻³: 4.73
Total magnetization in Bohr magnetons per cell: 0.0

```
data_SmZrSc2P4
_cell_length_a 6.611
_cell_length_b 3.842
_cell_length_c 6.665
_cell_angle_alpha 90.00
_cell_angle_beta 109.35
_cell_angle_gamma 90.00
_symmetry_space_group_name_H-M 'P 1 2/m 1'
_symmetry_Int_Tables_number 10
loop_
_symmetry_equiv_pos_as_xyz
'x,y,z'
'-x,-y,-z'
'-x,y,-z'
'x,-y,z'
loop_
_atom_site_label
_atom_site_type_symbol
_atom_site_fract_x
_atom_site_fract_y
_atom_site_fract_z
Sm1 Sm 0.000 0.000 0.000
Zr1 Zr 0.000 0.500 0.500
Sc1 Sc 0.500 0.000 0.500
Sc2 Sc 0.500 0.500 0.000
P1 P 0.257 0.000 0.742
P2 P 0.265 0.500 0.266
```


This record from Alexandria describes an optimized crystal structure of La3SmY12. The functional is PBE.

Values from the calculation:
DFT total energy in eV per atom: -6.04
Mass density in g cm⁻³: 5.09
Total magnetization in Bohr magnetons per cell: 0.0

```
data_La3SmY12
_cell_length_a 5.108
_cell_length_b 5.108
_cell_length_c 20.434
_cell_angle_alpha 90.00
_cell_angle_beta 90.00
_cell_angle_gamma 90.00
_symmetry_space_group_name_H-M 'P 4/m m m'
_symmetry_Int_Tables_number 123
_symmetry_space_group_name_Hall '-P 4 2'
loop_
_atom_site_label
_atom_site_type_symbol
_atom_site_fract_x
_atom_site_fract_y
_atom_site_fract_z
La1 La 0.000 0.000 0.000
La2 La 0.000 0.000 0.250
Sm1 Sm 0.000 0.000 0.500
Y1 Y 0.000 0.500 0.126
Y2 Y 0.000 0.500 0.377
Y3 Y 0.500 0.500 0.000
Y4 Y 0.500 0.500 0.252
Y5 Y 0.500 0.500 0.500
```


This record from Alexandria describes an optimized crystal structure of Li4TaTl. The functional is PBE.

Values from the calculation:
DFT total energy in eV per atom: -3.25
Mass density in g cm⁻³: 6.84
Total magnetization in Bohr magnetons per cell: 8.4

```
data_Li4TaTl
_cell_length_a 7.373
_cell_length_b 7.373
_cell_length_c 7.373
_cell_angle_alpha 90.00
_cell_angle_beta 90.00
_cell_angle_gamma 90.00
_symmetry_space_group_name_H-M 'F -4 3 m'
_symmetry_Int_Tables_number 216
_symmetry_space_group_name_Hall 'F -4 2 3'
loop_
_atom_site_label
_atom_site_type_symbol
_atom_site_fract_x
_atom_site_fract_y
_atom_site_fract_z
Li1 Li 0.124 0.124 0.124
Ta1 Ta 0.250 0.250 0.750
Tl1 Tl 0.000 0.000 0.500
```


This record from Alexandria describes an optimized crystal structure of TaGa2Ge2. The functional is PBE.

Values from the calculation:
DFT total energy in eV per atom: -5.24
Mass density in g cm⁻³: 8.79
Total magnetization in Bohr magnetons per cell: 0.0

```
data_TaGa2Ge2
_cell_length_a 6.892
_cell_length_b 6.892
_cell_length_c 3.704
_cell_angle_alpha 90.00
_cell_angle_beta 90.00
_cell_angle_gamma 90.00
_symmetry_space_group_name_H-M 'P 4/m b m'
_symmetry_Int_Tables_number 127
_symmetry_space_group_name_Hall '-P 4 2ab'
loop_
_atom_site_label
_atom_site_type_symbol
_atom_site_fract_x
_atom_site_fract_y
_atom_site_fract_z
Ta1 Ta 0.000 0.000 0.000
Ga1 Ga 0.170 0.330 0.500
Ge1 Ge 0.137 0.637 0.000
```


This record from Alexandria describes an optimized crystal structure of AgPd2S. The functional is PBE.

Values from the calculation:
DFT total energy in eV per atom: -4.49
Mass density in g cm⁻³: 8.72
Total magnetization in Bohr magnetons per cell: 0.0

```
data_AgPd2S
_cell_length_a 9.085
_cell_length_b 4.973
_cell_length_c 6.004
_cell_angle_alpha 90.00
_cell_angle_beta 98.06
_cell_angle_gamma 90.00
_symmetry_space_group_name_H-M 'P 1 21/c 1'
_symmetry_Int_Tables_number 14
loop_
_symmetry_equiv_pos_as_xyz
'x,y,z'
'-x,-y,-z'
'-x,y+1/2,-z+1/2'
'x,-y+1/2,z+1/2'
loop_
_atom_site_label
_atom_site_type_symbol
_atom_site_fract_x
_atom_site_fract_y
_atom_site_fract_z
Ag1 Ag 0.087 0.232 0.269
Pd1 Pd 0.181 0.750 0.038
Pd2 Pd 0.365 0.244 0.577
S1 S 0.372 0.611 0.328
```


This record from Alexandria describes an optimized crystal structure of CaNdInGa. The functional is PBE.

Values from the calculation:
Energy above the lowest structure with this stoichiometry in meV per atom: 0
DFT total energy in eV per atom: -3.62
Mass density in g cm⁻³: 5.68
Total magnetization in Bohr magnetons per cell: 0.0

```
data_CaNdInGa
_cell_length_a 3.743
_cell_length_b 3.743
_cell_length_c 7.694
_cell_angle_alpha 90.00
_cell_angle_beta 90.00
_cell_angle_gamma 90.00
_symmetry_space_group_name_H-M 'P 4 m m'
_symmetry_Int_Tables_number 99
loop_
_symmetry_equiv_pos_as_xyz
'x,y,z'
'-y,x,z'
'-x,-y,z'
'y,-x,z'
'-x,y,z'
'y,x,z'
'x,-y,z'
'-y,-x,z'
loop_
_atom_site_label
_atom_site_type_symbol
_atom_site_fract_x
_atom_site_fract_y
_atom_site_fract_z
Ca1 Ca 0.000 0.000 0.000
Nd1 Nd 0.000 0.000 0.529
In1 In 0.500 0.500 0.258
Ga1 Ga 0.500 0.500 0.766
```


This record from Alexandria describes an optimized crystal structure of CaZn3Pt. The functional is PBE.

Values from the calculation:
Energy above the lowest structure with this stoichiometry in meV per atom: 1692
DFT total energy in eV per atom: -1.16
Mass density in g cm⁻³: 4.83
Total magnetization in Bohr magnetons per cell: 0.0

```
data_CaZn3Pt
_cell_length_a 5.294
_cell_length_b 5.294
_cell_length_c 5.294
_cell_angle_alpha 90.00
_cell_angle_beta 90.00
_cell_angle_gamma 90.00
_symmetry_space_group_name_H-M 'P m -3 m'
_symmetry_Int_Tables_number 221
_symmetry_space_group_name_Hall '-P 4 2 3'
loop_
_atom_site_label
_atom_site_type_symbol
_atom_site_fract_x
_atom_site_fract_y
_atom_site_fract_z
Ca1 Ca 0.000 0.000 0.000
Zn1 Zn 0.000 0.000 0.500
Pt1 Pt 0.500 0.500 0.500
```


This record from Alexandria describes an optimized crystal structure of Rb2NaTeI6. The functional is PBE.

Values from the calculation:
Energy above the lowest structure with this stoichiometry in meV per atom: 0
DFT total energy in eV per atom: -2.37
Mass density in g cm⁻³: 3.81
Total magnetization in Bohr magnetons per cell: 0.0

```
data_Rb2NaTeI6
_cell_length_a 8.4572
_cell_length_b 8.4572
_cell_length_c 45.7511
_cell_angle_alpha 90.00
_cell_angle_beta 90.00
_cell_angle_gamma 120.00
_symmetry_space_group_name_H-M 'R -3 m'
_symmetry_Int_Tables_number 166
_symmetry_space_group_name_Hall '-R 3 2"'
loop_
_atom_site_label
_atom_site_type_symbol
_atom_site_fract_x
_atom_site_fract_y
_atom_site_fract_z
Rb1 Rb 0.0000 0.0000 0.1349
Rb2 Rb 0.0000 0.0000 0.3049
Na1 Na 0.0000 0.0000 0.4200
Te1 Te 0.0000 0.0000 0.0000
Te2 Te 0.0000 0.0000 0.5000
I1 I 0.0134 0.5067 0.2956
I2 I 0.0178 0.5089 0.8713
```